# 1
# Cd2Te3

Crystalline Cd2Te3 at its relaxed geometry (PBE, the Alexandria database).

Computed properties:
Mass density = 6.58 g/cm³
Size of the total moment = 0.00 μB/f.u.
Energy relative to the elements, uncorrected = -53 kJ/mol of formula units
ΔE to the lowest computed polymorph = 0.0 meV/atom
Final energy = -2.362 eV/atom

Unit cell a=12.219 b=14.433 c=6.951 alpha=90.00 beta=90.00 gamma=90.00
Space group Fdd2 (No. 43)
Inequivalent atoms, fractional coordinates:
Cd: 0.108 0.189 0.000
Te: 0.000 0.000 0.094
Te: 0.048 0.169 0.591

***

# 2
# YVSnRu2

Crystalline YVSnRu2 at its relaxed geometry (PBE, the Alexandria database).

Computed properties:
Mass density = 5.95 g/cm³
Size of the total moment = 1.97 μB/f.u.
Final energy = -5.844 eV/atom
Energy of formation = 1783.3 meV/atom

Unit cell a=4.812 b=4.812 c=5.558 alpha=90.00 beta=90.00 gamma=90.00
Space group P4/mmm (No. 123)
Inequivalent atoms, fractional coordinates:
Y: 0.000 0.000 0.000
V: 0.500 0.500 0.500
Sn: 0.000 0.000 0.500
Ru: 0.000 0.500 0.000

***

# 3
# AcPmCuP

Crystalline AcPmCuP at its relaxed geometry (PBE, the Alexandria database).

Computed properties:
Mass density = 7.90 g/cm³
Size of the total moment = 0.00 μB/f.u.
Final energy = -5.099 eV/atom
Energy of formation = -507.8 meV/atom

Unit cell a=7.322 b=7.322 c=7.322 alpha=90.00 beta=90.00 gamma=90.00
Space group F-43m (No. 216)
Inequivalent atoms, fractional coordinates:
Ac: 0.000 0.000 0.000
Pm: 0.000 0.000 0.500
Cu: 0.250 0.250 0.750
P: 0.250 0.250 0.250